Density functional theory data (PBE-GGA) for a relaxed structure of CeAl12Au6.

Its formation energy is -0.279 eV per atom. For the density, the calculation gives 7.7 g/cm³. Its total energy is -227.4 eV/cell. For the size of the total moment, the calculation gives 0.066 μB per atom.

The structure belongs to space group R-3m (No. 166, hexagonal axes); the cell edges are 11.7644, 11.7644 and 8.9015 Å and the angles 90.00°, 90.00° and 120.00°. The distinct sites, in fractional coordinates, are Ce at (0.0000, 0.0000, 0.0000), Al at (0.0000, 0.3878, 0.5000), Al at (0.0826, 0.1653, 0.3161) and Au at (0.0347, 0.5174, 0.2453).